# NbTl3Br GGA-PBE relaxed
# polymorph energy (0 for the lowest one)	552	meV per atom
# formation energy without anion corrections	0.9730	eV/atom
# DOS at the Fermi energy	2.261	states/eV/atom
# calculated total energy	-14.0	eV per formula unit
data_NbTl3Br
_cell_length_a 5.950
_cell_length_b 5.950
_cell_length_c 5.950
_cell_angle_alpha 90.00
_cell_angle_beta 90.00
_cell_angle_gamma 90.00
_space_group_name_H-M_alt 'P m -3 m'
_space_group_IT_number 221
_space_group_name_Hall '-P 4 2 3'
loop_
_atom_site_label
_atom_site_type_symbol
_atom_site_fract_x
_atom_site_fract_y
_atom_site_fract_z
Nb1 Nb 0.000 0.000 0.000
Tl1 Tl 0.000 0.500 0.500
Br1 Br 0.500 0.500 0.500